[1]
# TaBI2N

TaBI2N after structural relaxation (PBE, Alexandria via LeMat-Bulk).

a = 6.437 Å, b = 6.437 Å, c = 2.773 Å
α = 90.00°, β = 90.00°, γ = 90.00°
Last column: magnetic moment on the atom in μB.
Positions (direct):
I1 0.000 0.500 0.000  0.00
I2 0.500 0.000 0.000  0.00
Ta1 0.500 0.500 0.500  1.01
B1 0.000 0.000 0.000  0.00
N1 0.000 0.000 0.500  0.00

Computed properties:
**Volume**: 114.9 Å³ per cell
**Formation energy without anion corrections**: 0.803 eV per atom


[2]
# TaBI2N

TaBI2N after structural relaxation (PBE, Alexandria via LeMat-Bulk).

a = 5.667 Å, b = 5.667 Å, c = 3.916 Å
α = 90.00°, β = 90.00°, γ = 90.00°
Last column: magnetic moment on the atom in μB.
Positions (direct):
Ta1 0.000 0.000 0.000  0.18
I1 0.500 0.000 0.000  -0.01
I2 0.000 0.500 0.000  -0.01
B1 0.500 0.500 0.500  0.14
N1 0.000 0.000 0.500  -0.01

Computed properties:
**Volume**: 125.8 Å³ per cell
**Formation energy without anion corrections**: 0.950 eV per atom


[3]
# TcBI2N

TcBI2N after structural relaxation (PBE, Alexandria via LeMat-Bulk).

a = 5.234 Å, b = 4.153 Å, c = 5.234 Å
α = 90.00°, β = 90.00°, γ = 90.00°
Last column: magnetic moment on the atom in μB.
Positions (direct):
N1 0.500 0.500 0.500  -0.29
Tc1 0.000 0.500 0.000  1.92
B1 0.000 0.000 0.000  -0.03
I1 0.500 0.000 0.000  0.02
I2 0.000 0.000 0.500  0.00

Computed properties:
**Volume**: 113.8 Å³ per cell
**Formation energy without anion corrections**: 2.187 eV per atom


[4]
# TcBI2N

TcBI2N after structural relaxation (PBE, Alexandria via LeMat-Bulk).

a = 6.449 Å, b = 6.449 Å, c = 2.802 Å
α = 90.00°, β = 90.00°, γ = 90.00°
Last column: magnetic moment on the atom in μB.
Positions (direct):
B1 0.000 0.000 0.000  0.00
Tc1 0.500 0.500 0.500  3.35
N1 0.000 0.000 0.500  0.00
I1 0.500 0.000 0.000  0.06
I2 0.000 0.500 0.000  0.06

Computed properties:
**Volume**: 116.5 Å³ per cell
**Formation energy without anion corrections**: 0.766 eV per atom